Material: AlNi2Ir
Method: DFT, PBE
State: optimized geometry

```
4
Lattice="1.434 -2.193 0.000 1.434 2.193 0.000 0.000 0.000 8.129" Properties=species:S:1:pos:R:3 pbc="T T T"
Al 0.000 0.000 0.000
Ni 1.434 0.000 1.901
Ni 1.434 0.000 6.227
Ir 0.000 0.000 4.064
```

As for the formation energy: -0.0629 eV per atom. The total energy is -6.104 eV/atom. Its space group is No. 65. Its volume is 51.1 Å³/f.u.

=====

Material: Al4NiIr2
Method: DFT, PBE
State: optimized geometry

```
7
Lattice="2.104 1.215 6.707 -2.104 1.215 6.707 0.000 -2.429 6.707" Properties=species:S:1:pos:R:3 pbc="T T T"
Al 0.000 0.000 2.338
Al 0.000 0.000 7.465
Al 0.000 0.000 12.656
Al 0.000 0.000 17.783
Ni 0.000 0.000 10.061
Ir 0.000 0.000 4.936
Ir 0.000 0.000 15.185
```

As for the formation energy: -0.8121 eV per atom. The total energy is -6.308 eV/atom. Its space group is No. 166. Its volume is 102.8 Å³/f.u.